(1)
Computed, not measured: a relaxed K2LiMg crystal at the PBE level of DFT.

Unit cell a=4.005 b=5.320 c=8.149 alpha=90.00 beta=90.41 gamma=90.00
Fractional positions:
1 K 0.001 0.000 0.253
2 K 0.999 0.000 0.747
3 Li 0.500 0.500 0.000
4 Mg 0.500 0.500 0.500

Calculated values
**Calculated volume**: 43.41 Å³ per atom
**D(E_F)**: 0.482 states/eV/atom
**SG**: P2/m, No. 10
**Formation energy**: 0.22 eV per atom
**Spin magnetization**: 0.00 μB per atom


(2)
Computed, not measured: a relaxed KLiMg2 crystal at the PBE level of DFT.

Unit cell a=4.832 b=4.832 c=5.423 alpha=90.00 beta=90.00 gamma=90.00
Fractional positions:
1 K 0.000 0.000 0.000
2 Li 0.500 0.500 0.000
3 Mg 0.000 0.500 0.500
4 Mg 0.500 0.000 0.500

Calculated values
**Calculated volume**: 31.65 Å³ per atom
**D(E_F)**: 0.502 states/eV/atom
**SG**: P4/mmm, No. 123
**Formation energy**: 0.24 eV per atom
**Spin magnetization**: 0.00 μB per atom


(3)
Computed, not measured: a relaxed K2LiMg crystal at the PBE level of DFT.

Unit cell a=8.311 b=10.061 c=4.176 alpha=90.00 beta=90.44 gamma=90.00
Fractional positions:
1 K 0.250 0.250 0.000
2 K 0.250 0.750 0.000
3 K 0.750 0.250 0.000
4 K 0.750 0.750 0.000
5 Li 0.000 0.000 0.500
6 Li 0.500 0.500 0.500
7 Mg 0.000 0.500 0.500
8 Mg 0.500 0.000 0.500

Calculated values
**Calculated volume**: 43.65 Å³ per atom
**D(E_F)**: 0.612 states/eV/atom
**SG**: C2/m, No. 12
**Formation energy**: 0.22 eV per atom
**Spin magnetization**: 0.00 μB per atom


(4)
Computed, not measured: a relaxed K2LiMg crystal at the PBE level of DFT.

Unit cell a=3.951 b=3.951 c=38.015 alpha=90.00 beta=90.00 gamma=120.00
Fractional positions:
1 K 0.000 0.000 0.248
2 K 0.000 0.000 0.752
3 K 0.333 0.667 0.418
4 K 0.333 0.667 0.915
5 K 0.667 0.333 0.085
6 K 0.667 0.333 0.582
7 Li 0.000 0.000 0.500
8 Li 0.333 0.667 0.167
9 Li 0.667 0.333 0.833
10 Mg 0.000 0.000 0.000
11 Mg 0.333 0.667 0.667
12 Mg 0.667 0.333 0.333

Calculated values
**Calculated volume**: 42.83 Å³ per atom
**D(E_F)**: 0.778 states/eV/atom
**SG**: R-3m, No. 166
**Formation energy**: 0.26 eV per atom
**Spin magnetization**: 0.00 μB per atom


(5)
Computed, not measured: a relaxed K2LiMg crystal at the PBE level of DFT.

Unit cell a=9.987 b=9.987 c=6.946 alpha=90.00 beta=90.00 gamma=90.00
Fractional positions:
1 K 0.233 0.250 0.125
2 K 0.250 0.733 0.375
3 K 0.250 0.767 0.875
4 K 0.267 0.250 0.625
5 K 0.733 0.750 0.625
6 K 0.750 0.233 0.875
7 K 0.750 0.267 0.375
8 K 0.767 0.750 0.125
9 Li 0.000 0.000 0.000
10 Li 0.000 0.500 0.250
11 Li 0.500 0.000 0.750
12 Li 0.500 0.500 0.500
13 Mg 0.000 0.000 0.500
14 Mg 0.000 0.500 0.750
15 Mg 0.500 0.000 0.250
16 Mg 0.500 0.500 0.000

Calculated values
**Calculated volume**: 43.30 Å³ per atom
**D(E_F)**: 0.740 states/eV/atom
**SG**: I-42d, No. 122
**Formation energy**: 0.29 eV per atom
**Spin magnetization**: 0.00 μB per atom


(6)
Computed, not measured: a relaxed K3LiMg crystal at the PBE level of DFT.

Unit cell a=6.673 b=6.673 c=6.673 alpha=90.00 beta=90.00 gamma=90.00
Fractional positions:
1 K 0.000 0.000 0.500
2 K 0.000 0.500 0.000
3 K 0.500 0.000 0.000
4 Li 0.000 0.000 0.000
5 Mg 0.500 0.500 0.500

Calculated values
**Calculated volume**: 59.42 Å³ per atom
**Energy above the lowest structure with this stoichiometry**: 0.0 meV per atom
**D(E_F)**: 0.908 states/eV/atom
**SG**: Pm-3m, No. 221
**Formation energy**: 0.37 eV per atom
**Spin magnetization**: 0.00 μB per atom


(7)
Computed, not measured: a relaxed KLiMg2 crystal at the PBE level of DFT.

Unit cell a=3.418 b=6.116 c=11.698 alpha=90.00 beta=90.00 gamma=90.00
Fractional positions:
1 K 0.000 0.000 0.000
2 K 0.500 0.500 0.500
3 Li 0.000 0.500 0.776
4 Li 0.500 0.000 0.276
5 Mg 0.000 0.000 0.487
6 Mg 0.000 0.500 0.214
7 Mg 0.500 0.000 0.714
8 Mg 0.500 0.500 0.987

Calculated values
**Calculated volume**: 30.57 Å³ per atom
**D(E_F)**: 0.468 states/eV/atom
**SG**: Imm2, No. 44
**Formation energy**: 0.19 eV per atom
**Spin magnetization**: 0.00 μB per atom


(8)
Computed, not measured: a relaxed KLiMg6 crystal at the PBE level of DFT.

Unit cell a=5.317 b=6.582 c=12.021 alpha=90.00 beta=90.00 gamma=90.00
Fractional positions:
1 K 0.000 0.000 0.000
2 K 0.000 0.500 0.500
3 Li 0.000 0.000 0.486
4 Li 0.000 0.500 0.986
5 Mg 0.000 0.248 0.747
6 Mg 0.000 0.252 0.247
7 Mg 0.000 0.748 0.247
8 Mg 0.000 0.752 0.747
9 Mg 0.500 0.000 0.172
10 Mg 0.500 0.000 0.648
11 Mg 0.500 0.237 0.397
12 Mg 0.500 0.263 0.897
13 Mg 0.500 0.500 0.148
14 Mg 0.500 0.500 0.672
15 Mg 0.500 0.737 0.897
16 Mg 0.500 0.763 0.397

Calculated values
**Calculated volume**: 26.29 Å³ per atom
**Energy above the lowest structure with this stoichiometry**: 6.8 meV per atom
**D(E_F)**: 0.542 states/eV/atom
**SG**: Amm2, No. 38
**Formation energy**: 0.16 eV per atom
**Spin magnetization**: 0.00 μB per atom


(9)
Computed, not measured: a relaxed K4LiMg crystal at the PBE level of DFT.

Unit cell a=7.812 b=7.812 c=7.812 alpha=60.00 beta=60.00 gamma=60.00
Fractional positions:
1 K 0.125 0.125 0.125
2 K 0.125 0.125 0.624
3 K 0.125 0.624 0.125
4 K 0.624 0.125 0.125
5 Li 0.750 0.750 0.750
6 Mg 0.500 0.500 0.500

Calculated values
**Calculated volume**: 56.18 Å³ per atom
**D(E_F)**: 0.681 states/eV/atom
**SG**: F-43m, No. 216
**Formation energy**: 0.32 eV per atom
**Spin magnetization**: 0.00 μB per atom


(10)
Computed, not measured: a relaxed K2LiMg crystal at the PBE level of DFT.

Unit cell a=12.432 b=3.703 c=7.467 alpha=90.00 beta=95.55 gamma=90.00
Fractional positions:
1 K 0.248 0.000 0.247
2 K 0.252 0.500 0.753
3 K 0.748 0.500 0.247
4 K 0.752 0.000 0.753
5 Li 0.000 0.000 0.500
6 Li 0.500 0.500 0.500
7 Mg 0.000 0.500 0.000
8 Mg 0.500 0.000 0.000

Calculated values
**Calculated volume**: 42.77 Å³ per atom
**D(E_F)**: 0.589 states/eV/atom
**SG**: C2/m, No. 12
**Formation energy**: 0.26 eV per atom
**Spin magnetization**: 0.00 μB per atom


(11)
Computed, not measured: a relaxed K2LiMg crystal at the PBE level of DFT.

Unit cell a=4.135 b=4.135 c=35.722 alpha=90.00 beta=90.00 gamma=120.00
Fractional positions:
1 K 0.000 0.000 0.000
2 K 0.000 0.000 0.218
3 K 0.333 0.667 0.667
4 K 0.333 0.667 0.885
5 K 0.667 0.333 0.333
6 K 0.667 0.333 0.552
7 Li 0.000 0.000 0.750
8 Li 0.333 0.667 0.417
9 Li 0.667 0.333 0.084
10 Mg 0.000 0.000 0.468
11 Mg 0.333 0.667 0.134
12 Mg 0.667 0.333 0.801

Calculated values
**Calculated volume**: 44.09 Å³ per atom
**D(E_F)**: 0.970 states/eV/atom
**SG**: R3m, No. 160
**Formation energy**: 0.24 eV per atom
**Spin magnetization**: 0.09 μB per atom


(12)
Computed, not measured: a relaxed K2Li2Mg crystal at the PBE level of DFT.

Unit cell a=7.970 b=7.970 c=6.047 alpha=90.00 beta=90.00 gamma=90.00
Fractional positions:
1 K 0.185 0.315 0.000
2 K 0.315 0.815 0.000
3 K 0.685 0.185 0.000
4 K 0.815 0.685 0.000
5 Li 0.138 0.638 0.500
6 Li 0.362 0.138 0.500
7 Li 0.638 0.862 0.500
8 Li 0.862 0.362 0.500
9 Mg 0.000 0.000 0.500
10 Mg 0.500 0.500 0.500

Calculated values
**Calculated volume**: 38.41 Å³ per atom
**Energy above the lowest structure with this stoichiometry**: 0.0 meV per atom
**D(E_F)**: 0.692 states/eV/atom
**SG**: P4/mbm, No. 127
**Formation energy**: 0.17 eV per atom
**Spin magnetization**: 0.00 μB per atom


Q: What is the formula in the twelfth record?
A: K2Li2Mg


Q: Which formula does entry 3 have?
A: K2LiMg


Repeat the seventh record exactly.
Computed, not measured: a relaxed KLiMg2 crystal at the PBE level of DFT.

Unit cell a=3.418 b=6.116 c=11.698 alpha=90.00 beta=90.00 gamma=90.00
Fractional positions:
1 K 0.000 0.000 0.000
2 K 0.500 0.500 0.500
3 Li 0.000 0.500 0.776
4 Li 0.500 0.000 0.276
5 Mg 0.000 0.000 0.487
6 Mg 0.000 0.500 0.214
7 Mg 0.500 0.000 0.714
8 Mg 0.500 0.500 0.987

Calculated values
**Calculated volume**: 30.57 Å³ per atom
**D(E_F)**: 0.468 states/eV/atom
**SG**: Imm2, No. 44
**Formation energy**: 0.19 eV per atom
**Spin magnetization**: 0.00 μB per atom


Q: What is the formula in the fifth record?
A: K2LiMg